{"formula": "Cd3In5", "functional": "PBE", "state": "optimized geometry", "crystal_system": "tetragonal", "mass_density_g_cm3": 7.39, "space_group": "No. 123", "total_energy_ev_per_atom": -2.036, "magnetic_moment_mub_per_atom": 0.000, "relative_energy_ev_per_atom": 0.000, "cell": [[-2.757, -1.690, -0.482], [-0.006, -0.885, 3.148], [-10.302, 15.563, 4.358]], "species": ["In", "In", "In", "In", "In", "Cd", "Cd", "Cd"], "fractional_positions": [[0.500, 0.500, 0.235], [0.500, 0.500, 0.765], [0.000, 0.000, 0.633], [0.500, 0.500, 0.500], [0.000, 0.000, 0.367], [0.500, 0.500, 0.000], [0.000, 0.000, 0.113], [0.000, 0.000, 0.887]]}